Below is a relaxed Y3Te crystal, with properties calculated at the PBE level.

It has space group P4/mmm (No. 123), with a = 3.8858 Å, b = 3.8858 Å, c = 7.8583 Å, α = 90.00°, β = 90.00° and γ = 90.00°. Symmetry generates all atoms from Y at (0.0000, 0.0000, 0.0000), Y at (0.5000, 0.5000, 0.2757) and Te at (0.0000, 0.0000, 0.5000).

The value obtained for the magnetization is 0.00 μB per atom. The density of states at the Fermi level comes out at 4.98 states/eV per cell. Its excess energy over the best structure of this formula in the dataset is 116 meV per atom. As for the formation energy (no corrections): -570 meV/atom.

---

Below is a relaxed Y2Te crystal, with properties calculated at the PBE level.

It has space group P6/mmm (No. 191), with a = 5.4573 Å, b = 5.4573 Å, c = 3.3659 Å, α = 90.00°, β = 90.00° and γ = 120.00°. Symmetry generates all atoms from Y at (0.3333, 0.6667, 0.0000) and Te at (0.0000, 0.0000, 0.5000).

The value obtained for the magnetization is 0.20 μB per atom. The density of states at the Fermi level comes out at 4.10 states/eV per cell. As for the formation energy (no corrections): 4 meV/atom.

---

Below is a relaxed Y5Te crystal, with properties calculated at the PBE level.

It has space group Cm (No. 8), with a = 12.2808 Å, b = 3.7881 Å, c = 8.1833 Å, α = 90.00°, β = 103.86° and γ = 90.00°. Symmetry generates all atoms from Y at (0.0000, 0.0000, 0.0000), Y at (0.0050, 0.0000, 0.5923), Y at (0.1537, 0.5000, 0.3356), Y at (0.2121, 0.5000, 0.8875), Y at (0.3684, 0.0000, 0.2517) and Te at (0.2993, 0.0000, 0.6259).

The value obtained for the magnetization is 0.00 μB per atom. The density of states at the Fermi level comes out at 13.88 states/eV per cell. Its excess energy over the best structure of this formula in the dataset is 2 meV per atom. As for the formation energy (no corrections): -363 meV/atom.